1.
Below is a relaxed structure of InOsC2, with properties calculated at the PBEsol level.

```
InOsC2
1.0
-2.4678 2.4678 4.7230
2.4678 -2.4678 4.7230
2.4678 2.4678 -4.7230
In Os C
2 2 4
direct
0.0000 0.0000 0.0000 In
0.7500 0.2500 0.5000 In
0.2500 0.7500 0.5000 Os
0.5000 0.5000 0.0000 Os
0.1865 0.6250 0.0615 C
0.3750 0.4365 0.5615 C
0.5635 0.1250 0.9385 C
0.8750 0.8135 0.4385 C
```

Calculated values
* ΔE_f: 939 meV per atom
* SG: No. 122
* theoretical density: 9.5 g/cm3


2.
Below is a relaxed structure of La3CdIr, with properties calculated at the PBEsol level.

```
La3CdIr
1.0
5.8912 0.0000 0.0000
-2.4719 6.0735 0.0000
-1.9394 -2.5637 7.8896
La Cd Ir
6 2 2
direct
0.0828 0.1920 0.3119 La
0.2905 0.8127 0.0998 La
0.3297 0.4406 0.7484 La
0.6703 0.5594 0.2516 La
0.7095 0.1873 0.9002 La
0.9172 0.8080 0.6881 La
0.3226 0.7719 0.4869 Cd
0.6774 0.2281 0.5131 Cd
0.2360 0.1900 0.9877 Ir
0.7640 0.8100 0.0123 Ir
```

Calculated values
* ΔE_f: -446 meV per atom
* SG: No. 2
* theoretical density: 8.5 g/cm3